(1)
Hf15SiO32, relaxed, DFT PBE; density = 10.16 g/cm³; energy relative to the lowest polymorph listed for this composition = 0.029 eV/atom
1.0
5.012 -5.200 0.000
5.012 5.200 0.000
0.000 0.000 10.088
Hf Si O
15 1 32
Direct
0.000 0.000 0.000 Hf
0.000 0.000 0.500 Hf
0.000 0.500 0.484 Hf
0.000 0.500 0.993 Hf
0.234 0.764 0.749 Hf
0.236 0.766 0.251 Hf
0.262 0.266 0.744 Hf
0.266 0.262 0.256 Hf
0.500 0.000 0.007 Hf
0.500 0.000 0.516 Hf
0.500 0.500 0.000 Hf
0.734 0.738 0.256 Hf
0.738 0.734 0.744 Hf
0.764 0.234 0.251 Hf
0.766 0.236 0.749 Hf
0.500 0.500 0.500 Si
0.016 0.710 0.619 O
0.023 0.213 0.369 O
0.033 0.220 0.866 O
0.039 0.729 0.111 O
0.200 0.519 0.346 O
0.213 0.023 0.631 O
0.220 0.033 0.134 O
0.223 0.524 0.854 O
0.267 0.461 0.106 O
0.271 0.961 0.889 O
0.290 0.984 0.381 O
0.309 0.482 0.597 O
0.461 0.267 0.894 O
0.476 0.777 0.146 O
0.481 0.800 0.654 O
0.482 0.309 0.403 O
0.518 0.691 0.403 O
0.519 0.200 0.654 O
0.524 0.223 0.146 O
0.539 0.733 0.894 O
0.691 0.518 0.597 O
0.710 0.016 0.381 O
0.729 0.039 0.889 O
0.733 0.539 0.106 O
0.777 0.476 0.854 O
0.780 0.967 0.134 O
0.787 0.977 0.631 O
0.800 0.481 0.346 O
0.961 0.271 0.111 O
0.967 0.780 0.866 O
0.977 0.787 0.369 O
0.984 0.290 0.619 O

---

(2)
CuTe8, relaxed, DFT PBE; density = 6.89 g/cm³; calculated total energy = -2.99 eV per atom
1.0
8.813 0.000 0.000
-4.406 7.632 0.000
0.000 0.000 3.885
Cu Te
1 8
Direct
0.000 0.000 0.000 Cu
0.000 0.206 0.500 Te
0.000 0.525 0.000 Te
0.206 0.000 0.500 Te
0.333 0.667 0.500 Te
0.475 0.475 0.000 Te
0.525 0.000 0.000 Te
0.667 0.333 0.500 Te
0.794 0.794 0.500 Te

---

(3)
Sc8Cu2C3N3, relaxed, DFT PBE; density = 4.26 g/cm³; calculated total energy = -7.77 eV per atom
1.0
3.265 0.000 0.000
-1.633 2.828 0.000
0.000 0.000 23.873
Sc Cu C N
8 2 3 3
Direct
0.000 0.000 0.157 Sc
0.000 0.000 0.335 Sc
0.000 0.000 0.665 Sc
0.000 0.000 0.843 Sc
0.333 0.667 0.557 Sc
0.333 0.667 0.948 Sc
0.667 0.333 0.052 Sc
0.667 0.333 0.443 Sc
0.333 0.667 0.757 Cu
0.667 0.333 0.243 Cu
0.000 0.000 0.500 C
0.333 0.667 0.381 C
0.667 0.333 0.619 C
0.000 0.000 0.000 N
0.333 0.667 0.111 N
0.667 0.333 0.889 N

---

(4)
ErTlCo, relaxed, DFT PBE; density = 10.76 g/cm³; calculated total energy = -4.68 eV per atom
1.0
6.431 0.000 0.000
0.000 6.431 0.000
0.000 0.000 6.431
Er Tl Co
4 4 4
Direct
0.000 0.000 0.000 Er
0.000 0.500 0.500 Er
0.500 0.000 0.500 Er
0.500 0.500 0.000 Er
0.000 0.000 0.500 Tl
0.000 0.500 0.000 Tl
0.500 0.000 0.000 Tl
0.500 0.500 0.500 Tl
0.250 0.250 0.250 Co
0.250 0.750 0.750 Co
0.750 0.250 0.750 Co
0.750 0.750 0.250 Co